Entry 1:
The following is a DFT calculation (PBE) of crystalline Be2Ru at its relaxed geometry.

total DFT energy (no corrections)	-35.41	eV for the cell shown
ΔE_f	-325.5	meV per atom
crystal system	hexagonal
N(E_F)	0.154	states/eV/atom
space-group type	P6_3/mmc (194)
density	6.68	Mg/m³
excess energy over the best structure of this formula in the dataset	0.07	eV/f.u.

Cell: 3.8875 3.8875 4.5237 Å, 90.00 90.00 120.00°
Closest atoms and distances in Å follow each position.
Fractional positions:
Be 0.0000 0.0000 0.0000  8 Be 2.26-2.51, 6 Ru 2.51
Be 0.0000 0.0000 0.5000  8 Be 2.26-2.51, 6 Ru 2.51
Be 0.3333 0.6667 0.2500  5 Ru 2.24-2.26, 6 Be 2.51
Be 0.6667 0.3333 0.7500  5 Ru 2.24-2.26, 6 Be 2.51
Ru 0.6667 0.3333 0.2500  11 Be 2.24-2.51
Ru 0.3333 0.6667 0.7500  11 Be 2.24-2.51

Entry 2:
The following is a DFT calculation (PBE) of crystalline Ac2LaCd at its relaxed geometry.

total DFT energy (no corrections)	-14.20	eV for the cell shown
ΔE_f	-35.8	meV per atom
crystal system	trigonal
N(E_F)	1.283	states/eV/atom
space-group type	R3m (160)
density	7.50	Mg/m³
excess energy over the best structure of this formula in the dataset	0.41	eV/f.u.

Cell: 3.9359 3.9359 11.8545 Å, 80.44 80.44 60.00°
Closest atoms and distances in Å follow each position.
Fractional positions:
Ac 0.0763 0.0763 0.7711  3 Cd 3.49, 3 La 3.87
Ac 0.2574 0.2574 0.2277  3 Cd 3.50
La 0.4993 0.4993 0.5020  6 Ac 3.87-3.92, 6 La 3.94
Cd 0.6669 0.6669 0.9992  6 Ac 3.49-3.50

Entry 3:
The following is a DFT calculation (PBE) of crystalline Ba2Li2Mg15 at its relaxed geometry.

total DFT energy (no corrections)	-32.71	eV for the cell shown
ΔE_f	-58.8	meV per atom
crystal system	trigonal
N(E_F)	0.533	states/eV/atom
space-group type	R-3m (166)
density	2.13	Mg/m³

Cell: 8.0322 8.0322 8.0322 Å, 83.23 83.23 83.23°
Closest atoms and distances in Å follow each position.
Fractional positions:
Ba 0.3394 0.3394 0.3394  1 Li 3.77, 18 Mg 3.79-4.10
Ba 0.6606 0.6606 0.6606  1 Li 3.77, 18 Mg 3.79-4.10
Li 0.0955 0.0955 0.0955  1 Li 2.95, 3 Mg 3.27
Li 0.9045 0.9045 0.9045  1 Li 2.95, 3 Mg 3.27
Mg 0.5000 0.0000 0.0000  8 Mg 3.04-3.07, 2 Li 3.27
Mg 0.0000 0.0000 0.5000  8 Mg 3.04-3.07, 2 Li 3.27
Mg 0.0000 0.5000 0.0000  8 Mg 3.04-3.07, 2 Li 3.27
Mg 0.0000 0.7063 0.2937  8 Mg 3.04-3.24
Mg 0.7063 0.2937 0.0000  8 Mg 3.04-3.24
Mg 0.2937 0.0000 0.7063  8 Mg 3.04-3.24
Mg 0.2937 0.7063 0.0000  8 Mg 3.04-3.24
Mg 0.7063 0.0000 0.2937  8 Mg 3.04-3.24
Mg 0.0000 0.2937 0.7063  8 Mg 3.04-3.24
Mg 0.1511 0.6552 0.6552  8 Mg 3.07-3.24, 1 Li 3.32
Mg 0.6552 0.6552 0.1511  8 Mg 3.07-3.24, 1 Li 3.32
Mg 0.6552 0.1511 0.6552  8 Mg 3.07-3.24, 1 Li 3.32
Mg 0.8489 0.3448 0.3448  8 Mg 3.07-3.24, 1 Li 3.32
Mg 0.3448 0.3448 0.8489  8 Mg 3.07-3.24, 1 Li 3.32
Mg 0.3448 0.8489 0.3448  8 Mg 3.07-3.24, 1 Li 3.32